Compound: Na2Li2MoF6
Source: the Alexandria database
Functional: PBE+U
Structure: optimized geometry

Lattice parameters (Å, degrees): 5.8483 5.8483 16.8832 90.00 90.00 120.00
Space group R-3m (No. 166, hexagonal axes)
Unique sites:
Na  0.0000  0.0000  0.1949
Li  0.0000  0.0000  0.4040
Mo  0.0000  0.0000  0.0000
F  0.0243  0.5122  0.7530

Results
Total DFT energy (no corrections): -51.22 eV/f.u.
Magnetic moment: 0.254 μB/atom
Calculated volume: 15.2 Å³/atom